Record 1
Compound: LaC2SeI
Source: Alexandria via LeMat-Bulk
Functional: PBE
Structure: relaxed

Cell lengths 4.340, 5.885, 4.340 Å; angles 90.00, 90.00, 90.00 degrees
Element x y z (fractional)
La: 0.000 0.500 0.000
I: 0.500 0.500 0.500
C: 0.000 0.000 0.500
C: 0.500 0.000 0.000
Se: 0.000 0.000 0.000

Properties
Its space group is P4/mmm. Its total magnetic moment is 0.00 μB per formula unit.


Record 2
Compound: YTlO
Source: Alexandria via LeMat-Bulk
Functional: PBE
Structure: relaxed

Cell lengths 3.183, 6.031, 14.567 Å; angles 90.00, 90.00, 90.00 degrees
Element x y z (fractional)
Y: 0.899 0.000 0.520
Y: 0.899 0.000 0.922
Y: 0.899 0.500 0.020
Y: 0.899 0.500 0.422
O: 0.399 0.250 0.471
O: 0.399 0.750 0.971
O: 0.399 0.750 0.471
O: 0.399 0.250 0.971
Tl: 0.400 0.500 0.221
Tl: 0.400 0.000 0.721
Tl: 0.902 0.500 0.721
Tl: 0.902 0.000 0.221

Properties
The calculation puts the energy above the most stable polymorph in this dataset at 245.9 meV/atom. Its space group is Cmm2. Its total magnetic moment is 0.00 μB per formula unit.


Number 1: DOS(E_F) 1.77 states/eV/f.u., formation energy without anion corrections 1.392 eV per atom. Number 2: DOS(E_F) 2.12 states/eV/f.u., formation energy without anion corrections -1.813 eV per atom.